A plane-wave DFT calculation with PBEsol was carried out for a relaxed structure of NbRe3F.

abc: 4.7347 4.7347 4.7347
angles: 90.00 90.00 90.00
Fractional positions:
1 Nb 0.0000 0.0000 0.0000
2 Re 0.0000 0.0000 0.5000
3 Re 0.0000 0.5000 0.0000
4 Re 0.5000 0.0000 0.0000
5 F 0.5000 0.5000 0.5000

Computed properties:
The calculation puts the raw formation energy at 2.77 eV/atom.

A plane-wave DFT calculation with PBEsol was carried out for a relaxed structure of P2Au.

abc: 3.5162 3.5162 4.8410
angles: 96.83 96.83 56.12
Fractional positions:
1 P 0.1356 0.1356 0.3663
2 P 0.8644 0.8644 0.6337
3 Au 0.5000 0.5000 0.0000

Computed properties:
Its energy of formation from the pure elements is 0.05 eV/atom.

A plane-wave DFT calculation with PBEsol was carried out for a relaxed structure of TeAs2RhSe.

abc: 4.6688 4.6688 5.0834
angles: 90.00 90.00 90.00
Fractional positions:
1 Te 0.0000 0.0000 0.0000
2 As 0.0000 0.5000 0.5000
3 As 0.5000 0.0000 0.5000
4 Rh 0.5000 0.5000 0.5000
5 Se 0.5000 0.5000 0.0000

Computed properties:
The calculation puts the raw formation energy at 0.34 eV/atom.

A plane-wave DFT calculation with PBEsol was carried out for a relaxed structure of ZrCu2Au.

abc: 4.3877 4.3877 4.3877
angles: 60.00 60.00 60.00
Fractional positions:
1 Zr 0.0000 0.0000 0.0000
2 Cu 0.2500 0.2500 0.2500
3 Cu 0.7500 0.7500 0.7500
4 Au 0.5000 0.5000 0.5000

Computed properties:
Its energy of formation from the pure elements is -0.30 eV/atom. The polymorph energy (0 for the lowest one) is 0 meV/atom.

A plane-wave DFT calculation with PBEsol was carried out for a relaxed structure of TbSiRu2C.

abc: 5.8125 5.8125 7.0667
angles: 90.00 90.00 141.92
Fractional positions:
1 Tb 0.0483 0.9517 0.7500
2 Tb 0.9517 0.0483 0.2500
3 Si 0.2305 0.7695 0.2500
4 Si 0.7695 0.2305 0.7500
5 Ru 0.3354 0.6646 0.5578
6 Ru 0.3354 0.6646 0.9422
7 Ru 0.6646 0.3354 0.0578
8 Ru 0.6646 0.3354 0.4422
9 C 0.5000 0.5000 0.0000
10 C 0.5000 0.5000 0.5000

Computed properties:
The calculation puts the raw formation energy at -0.64 eV/atom.

A plane-wave DFT calculation with PBEsol was carried out for a relaxed structure of Nb6CdS8.

abc: 9.5602 9.5602 3.3405
angles: 90.00 90.00 120.00
Fractional positions:
1 Nb 0.1153 0.4866 0.2498
2 Nb 0.3712 0.8847 0.2498
3 Nb 0.4866 0.3712 0.7502
4 Nb 0.5134 0.6288 0.2498
5 Nb 0.6288 0.1153 0.7502
6 Nb 0.8847 0.5134 0.7502
7 Cd 0.0000 0.0000 0.5000
8 S 0.0574 0.7145 0.2501
9 S 0.2855 0.3429 0.2501
10 S 0.3333 0.6667 0.7502
11 S 0.3429 0.0574 0.7499
12 S 0.6571 0.9426 0.2501
13 S 0.6667 0.3333 0.2498
14 S 0.7145 0.6571 0.7499
15 S 0.9426 0.2855 0.7499

Computed properties:
The calculation puts the raw formation energy at -1.09 eV/atom.

Number 1: electronic total energy -7.78 eV/atom, magnetization 3.03 μB/f.u.. Number 2: electronic total energy -5.12 eV/atom, magnetization 0.00 μB/f.u.. Number 3: electronic total energy -4.81 eV/atom, magnetization 0.00 μB/f.u.. Number 4: electronic total energy -5.72 eV/atom, magnetization 0.00 μB/f.u.. Number 5: electronic total energy -8.79 eV/atom, magnetization 0.00 μB/f.u.. Number 6: electronic total energy -7.84 eV/atom, magnetization 0.00 μB/f.u..